Y2TcAu (SCAN, PBEsol geometry); uncorrected energy = -2.939 Ry per atom; D(E_F) = 3.6 states/eV/cell; crystal system = cubic; magnetic moment = 0.00 μB/f.u.; ΔH_f (0 K) = -0.01 eV/atom
1.0
-4.4650 0.8543 1.5821
-2.7412 -3.6398 1.5514
-1.0145 -0.4211 4.6864
Au Tc Y
1 1 2
Cartesian
-4.1104 -1.6033 3.9100 Au
-2.0552 -0.8017 1.9550 Tc
0.0000 0.0000 0.0000 Y
-6.1656 -2.4050 5.8649 Y